[1]
First-principles (PBE) data for Ba2RhAuO after structural relaxation, as listed in the Alexandria database.

```
Ba2RhAuO
1.0
5.6105 0.0000 0.0000
0.0000 5.6105 0.0000
0.0000 0.0000 4.0315
Ba Rh Au O
2 1 1 1
direct
0.0000 0.5000 0.0000
0.5000 0.0000 0.0000
0.0000 0.0000 0.5000
0.5000 0.5000 0.5000
0.0000 0.0000 0.0000
```

Values from the calculation:
* space-group type: No. 123

[2]
First-principles (PBE) data for Ba6RhAu2O after structural relaxation, as listed in the Alexandria database.

```
Ba6RhAu2O
1.0
7.6314 0.0000 0.0000
0.0000 8.4106 0.0000
-7.5721 0.0000 11.1820
Ba Rh Au O
12 2 4 2
direct
0.1186 0.0303 0.2370
0.1186 0.4697 0.7370
0.2313 0.6931 0.0593
0.2313 0.8069 0.5593
0.3587 0.1777 0.0550
0.3587 0.3223 0.5550
0.6413 0.6777 0.4450
0.6413 0.8223 0.9450
0.7687 0.1931 0.4407
0.7687 0.3069 0.9407
0.8814 0.5303 0.2630
0.8814 0.9697 0.7630
0.5000 0.0000 0.5000
0.5000 0.5000 0.0000
0.2947 0.0998 0.7515
0.2947 0.4002 0.2515
0.7053 0.5998 0.7485
0.7053 0.9002 0.2485
0.0000 0.0000 0.0000
0.0000 0.5000 0.5000
```

Values from the calculation:
* space-group type: No. 14

[3]
First-principles (PBE) data for Ba5RhAu2O after structural relaxation, as listed in the Alexandria database.

```
Ba5RhAu2O
1.0
2.2746 -9.9637 0.0000
2.2746 9.9637 0.0000
0.0000 0.0000 14.1887
Ba Rh Au O
10 2 4 2
direct
0.0047 0.9953 0.5000
0.1533 0.8467 0.7414
0.1788 0.8212 0.1160
0.2114 0.7886 0.4117
0.4596 0.5404 0.7381
0.5404 0.4596 0.2381
0.7886 0.2114 0.9117
0.8212 0.1788 0.6160
0.8467 0.1533 0.2414
0.9953 0.0047 0.0000
0.3012 0.6988 0.7661
0.6988 0.3012 0.2661
0.3721 0.6279 0.0579
0.3903 0.6097 0.4116
0.6097 0.3903 0.9116
0.6279 0.3721 0.5579
0.0505 0.9495 0.1523
0.9495 0.0505 0.6523
```

Values from the calculation:
* space-group type: No. 36

[4]
First-principles (PBE) data for BaRhAu2O after structural relaxation, as listed in the Alexandria database.

```
BaRhAu2O
1.0
6.0723 0.0000 0.0000
0.0000 6.0723 0.0000
0.0000 0.0000 4.3859
Ba Rh Au O
1 1 2 1
direct
0.0000 0.0000 0.0000
0.5000 0.5000 0.5000
0.0000 0.5000 0.0000
0.5000 0.0000 0.0000
0.0000 0.0000 0.5000
```

Values from the calculation:
* space-group type: No. 123

[5]
First-principles (PBE) data for BaAuS2O8 after structural relaxation, as listed in the Alexandria database.

```
BaAuS2O8
1.0
2.5320 1.4618 7.8894
-2.5320 1.4618 7.8894
0.0000 -2.9237 7.8894
Ba Au S O
1 1 2 8
direct
0.0000 0.0000 0.0000
0.5000 0.5000 0.5000
0.2499 0.2499 0.2499
0.7501 0.7501 0.7501
0.0487 0.4874 0.7724
0.2276 0.5126 0.9513
0.3133 0.3133 0.3133
0.4874 0.7724 0.0487
0.5126 0.9513 0.2276
0.6867 0.6867 0.6867
0.7724 0.0487 0.4874
0.9513 0.2276 0.5126
```

Values from the calculation:
* space-group type: No. 155

[6]
First-principles (PBE) data for Ba5Sb2AuO after structural relaxation, as listed in the Alexandria database.

```
Ba5Sb2AuO
1.0
2.4694 -10.0453 0.0000
2.4694 10.0453 0.0000
0.0000 0.0000 14.0527
Ba Sb Au O
10 4 2 2
direct
0.0095 0.9905 0.5000
0.2805 0.7195 0.2149
0.3401 0.6599 0.5326
0.3471 0.6529 0.8947
0.4784 0.5216 0.2742
0.5216 0.4784 0.7742
0.6529 0.3471 0.3947
0.6599 0.3401 0.0326
0.7195 0.2805 0.7149
0.9905 0.0095 0.0000
0.1041 0.8959 0.2087
0.1447 0.8553 0.8536
0.8553 0.1447 0.3536
0.8959 0.1041 0.7087
0.1748 0.8252 0.5652
0.8252 0.1748 0.0652
0.4715 0.5285 0.9361
0.5285 0.4715 0.4361
```

Values from the calculation:
* space-group type: No. 36

[7]
First-principles (PBE) data for Ba2SbAu2O4 after structural relaxation, as listed in the Alexandria database.

```
Ba2SbAu2O4
1.0
-3.2567 3.2567 3.9965
3.2567 -3.2567 3.9965
3.2567 3.2567 -3.9965
Ba Sb Au O
2 1 2 4
direct
0.2500 0.7500 0.5000
0.7500 0.2500 0.5000
0.0000 0.0000 0.0000
0.3342 0.3342 0.0000
0.6658 0.6658 0.0000
0.2200 0.2200 0.4400
0.2200 0.7800 0.0000
0.7800 0.2200 0.0000
0.7800 0.7800 0.5600
```

Values from the calculation:
* space-group type: No. 139

[8]
First-principles (PBE) data for Ba7Sb2AuO2 after structural relaxation, as listed in the Alexandria database.

```
Ba7Sb2AuO2
1.0
-2.6778 2.6778 14.8445
2.6778 -2.6778 14.8445
2.6778 2.6778 -14.8445
Ba Sb Au O
7 2 1 2
direct
0.0000 0.0000 0.0000
0.0964 0.5964 0.5000
0.2023 0.2023 0.0000
0.4036 0.9036 0.5000
0.5964 0.0964 0.5000
0.7977 0.7977 0.0000
0.9036 0.4036 0.5000
0.3207 0.3207 0.0000
0.6793 0.6793 0.0000
0.5000 0.5000 0.0000
0.0942 0.0942 0.0000
0.9058 0.9058 0.0000
```

Values from the calculation:
* space-group type: No. 139

[9]
First-principles (PBE) data for Ba2ScAuO6 after structural relaxation, as listed in the Alexandria database.

```
Ba2ScAuO6
1.0
2.9650 1.7119 9.8876
-2.9650 1.7119 9.8876
0.0000 -3.4237 9.8876
Ba Sc Au O
4 2 2 12
direct
0.1300 0.1300 0.1300
0.2863 0.2863 0.2863
0.7137 0.7137 0.7137
0.8700 0.8700 0.8700
0.4068 0.4068 0.4068
0.5932 0.5932 0.5932
0.0000 0.0000 0.0000
0.5000 0.5000 0.5000
0.1458 0.6127 0.6127
0.2011 0.2011 0.7147
0.2011 0.7147 0.2011
0.2853 0.7989 0.7989
0.3873 0.3873 0.8542
0.3873 0.8542 0.3873
0.6127 0.1458 0.6127
0.6127 0.6127 0.1458
0.7147 0.2011 0.2011
0.7989 0.2852 0.7989
0.7989 0.7989 0.2853
0.8542 0.3873 0.3873
```

Values from the calculation:
* space-group type: No. 166

[10]
First-principles (PBE) data for Ba2ScAuO after structural relaxation, as listed in the Alexandria database.

```
Ba2ScAuO
1.0
5.0647 0.0000 0.0000
0.0000 5.0647 0.0000
0.0000 0.0000 6.2476
Ba Sc Au O
2 1 1 1
direct
0.0000 0.5000 0.0000
0.5000 0.0000 0.0000
0.0000 0.0000 0.5000
0.5000 0.5000 0.5000
0.5000 0.5000 0.0000
```

Values from the calculation:
* space-group type: No. 123

no.,electronic total energy (eV per atom),spin magnetization (μB/f.u.)
1,-4.920,0.514
2,-3.841,0.000
3,-4.062,0.000
4,-3.295,1.851
5,-5.841,1.052
6,-4.152,0.000
7,-5.119,0.000
8,-4.254,0.560
9,-6.339,0.000
10,-4.173,1.812